! Cs2ThW3O12 | Alexandria | PBE+U | relaxed; values from VASP
! SG: R-3m
! calculated total energy: -7.380 eV/atom
&SYSTEM
  ibrav = 0, nat = 18, ntyp = 4
/
ATOMIC_SPECIES
O 16.00 O.upf
W 183.84 W.upf
Cs 132.91 Cs.upf
Th 232.04 Th.upf
ATOMIC_POSITIONS angstrom
O 3.508 -6.124 7.571
O -1.400 -4.059 8.957
O 2.745 -3.514 3.570
O -0.636 -6.669 12.957
O 3.316 -3.574 8.654
O 0.932 -2.881 9.897
O -1.207 -6.608 7.874
O 1.683 -9.589 10.863
O 3.610 -6.233 12.685
O -1.501 -3.950 3.843
O 1.176 -7.301 6.630
O 0.425 -0.594 5.665
W 0.236 0.140 3.901
W -1.455 -2.807 2.301
W 2.273 -2.424 2.062
Cs 0.799 -3.858 6.262
Cs 1.309 -6.324 10.265
Th 0.000 0.000 0.000
CELL_PARAMETERS angstrom
-2.911 -5.614 4.602
4.546 -4.848 4.123
0.473 0.280 7.802